No. 1
Compound: Te2Br
Source: Alexandria via LeMat-Bulk
Functional: GGA-PBE
Structure: relaxed

The value obtained for the uncorrected formation energy is -46 kJ/mol of formula units. As for the mass density: 4.8 g cm⁻³. For the electronic total energy, the calculation gives -33.7 eV per cell. The calculation puts the energy above the most stable polymorph in this dataset at 1.7 meV per atom.

Cell lengths 13.929, 4.104, 8.493 Å; angles 90.00, 107.36, 90.00 degrees
Space group C2/m (No. 12)
Symmetry-distinct sites (fractional):
1 Te 0.110 0.000 0.054 (multiplicity 4)
2 Te 0.126 0.500 0.816 (multiplicity 4)
3 Br 0.156 0.000 0.594 (multiplicity 4)



No. 2
Compound: Te3Br4
Source: Alexandria via LeMat-Bulk
Functional: GGA-PBE
Structure: relaxed

The value obtained for the uncorrected formation energy is 152 kJ/mol of formula units. As for the mass density: 5.6 g cm⁻³. For the electronic total energy, the calculation gives -29.1 eV per cell.

Cell lengths 3.867, 3.867, 27.614 Å; angles 90.00, 90.00, 90.00 degrees
Space group I4/mmm (No. 139)
Symmetry-distinct sites (fractional):
1 Te 0.000 0.000 0.000 (multiplicity 2)
2 Te 0.000 0.000 0.276 (multiplicity 4)
3 Br 0.000 0.000 0.152 (multiplicity 4)
4 Br 0.000 0.000 0.442 (multiplicity 4)



No. 3
Compound: Te4Br
Source: Alexandria via LeMat-Bulk
Functional: GGA-PBE
Structure: relaxed

The value obtained for the uncorrected formation energy is 237 kJ/mol of formula units. As for the mass density: 5.8 g cm⁻³. For the electronic total energy, the calculation gives -23.6 eV per cell. The calculation puts the energy above the most stable polymorph in this dataset at 403.9 meV per atom.

Cell lengths 6.965, 6.965, 6.965 Å; angles 90.00, 90.00, 90.00 degrees
Space group Im-3m (No. 229)
Symmetry-distinct sites (fractional):
1 Te 0.250 0.250 0.250 (multiplicity 8)
2 Br 0.000 0.000 0.000 (multiplicity 2)



No. 4
Compound: Te2Br
Source: Alexandria via LeMat-Bulk
Functional: GGA-PBE
Structure: relaxed

The value obtained for the uncorrected formation energy is 2 kJ/mol of formula units. As for the mass density: 4.2 g cm⁻³. For the electronic total energy, the calculation gives -31.7 eV per cell. The calculation puts the energy above the most stable polymorph in this dataset at 167.9 meV per atom.

Cell lengths 5.967, 7.115, 12.588 Å; angles 90.00, 90.00, 90.00 degrees
Space group Imma (No. 74)
Symmetry-distinct sites (fractional):
1 Te 0.000 0.250 0.018 (multiplicity 4)
2 Te 0.000 0.250 0.238 (multiplicity 4)
3 Br 0.000 0.250 0.488 (multiplicity 4)



No. 5
Compound: TeBr2
Source: Alexandria via LeMat-Bulk
Functional: GGA-PBE
Structure: relaxed

The value obtained for the uncorrected formation energy is -71 kJ/mol of formula units. As for the mass density: 3.8 g cm⁻³. For the electronic total energy, the calculation gives -28.9 eV per cell. The calculation puts the energy above the most stable polymorph in this dataset at 23.5 meV per atom.

Cell lengths 17.071, 4.145, 7.837 Å; angles 90.00, 115.82, 90.00 degrees
Space group Cm (No. 8)
Symmetry-distinct sites (fractional):
1 Te 0.000 0.000 0.000 (multiplicity 2)
2 Te 0.028 0.500 0.296 (multiplicity 2)
3 Br 0.155 0.000 0.047 (multiplicity 2)
4 Br 0.194 0.500 0.485 (multiplicity 2)
5 Br 0.350 0.000 0.034 (multiplicity 2)
6 Br 0.462 0.000 0.708 (multiplicity 2)



No. 6
Compound: TeBr2
Source: Alexandria via LeMat-Bulk
Functional: GGA-PBE
Structure: relaxed

The value obtained for the uncorrected formation energy is 61 kJ/mol of formula units. As for the mass density: 5.4 g cm⁻³. For the electronic total energy, the calculation gives -5.9 eV per cell. The calculation puts the energy above the most stable polymorph in this dataset at 478.2 meV per atom.

Cell lengths 3.5553, 3.5553, 8.0234 Å; angles 90.00, 90.00, 120.00 degrees
Space group P-3m1 (No. 164)
Symmetry-distinct sites (fractional):
1 Te 0.0000 0.0000 0.0000 (multiplicity 1)
2 Br 0.3333 0.6667 0.2874 (multiplicity 2)



No. 7
Compound: TeBr2
Source: Alexandria via LeMat-Bulk
Functional: GGA-PBE
Structure: relaxed

The value obtained for the uncorrected formation energy is -73 kJ/mol of formula units. As for the mass density: 3.5 g cm⁻³. For the electronic total energy, the calculation gives -14.5 eV per cell. The calculation puts the energy above the most stable polymorph in this dataset at 17.6 meV per atom.

Cell lengths 5.687, 7.478, 7.482 Å; angles 104.81, 106.94, 104.70 degrees
Space group P1 (No. 1)
Symmetry-distinct sites (fractional):
1 Te 0.000 0.000 0.000 (multiplicity 1)
2 Te 0.143 0.883 0.677 (multiplicity 1)
3 Br 0.020 0.114 0.485 (multiplicity 1)
4 Br 0.297 0.741 0.998 (multiplicity 1)
5 Br 0.715 0.210 0.889 (multiplicity 1)
6 Br 0.732 0.575 0.443 (multiplicity 1)



No. 8
Compound: TeBr2
Source: Alexandria via LeMat-Bulk
Functional: GGA-PBE
Structure: relaxed

The value obtained for the uncorrected formation energy is 83 kJ/mol of formula units. As for the mass density: 5.5 g cm⁻³. For the electronic total energy, the calculation gives -11.3 eV per cell. The calculation puts the energy above the most stable polymorph in this dataset at 555.6 meV per atom.

Cell lengths 3.492, 3.492, 14.200 Å; angles 90.00, 90.00, 90.00 degrees
Space group I4/mmm (No. 139)
Symmetry-distinct sites (fractional):
1 Te 0.000 0.000 0.000 (multiplicity 2)
2 Br 0.000 0.000 0.359 (multiplicity 4)



No. 9
Compound: TeBr3
Source: Alexandria via LeMat-Bulk
Functional: GGA-PBE
Structure: relaxed

The value obtained for the uncorrected formation energy is 19 kJ/mol of formula units. As for the mass density: 4.7 g cm⁻³. For the electronic total energy, the calculation gives -31.9 eV per cell. The calculation puts the energy above the most stable polymorph in this dataset at 361.6 meV per atom.

Cell lengths 8.8889, 8.8889, 7.5289 Å; angles 90.00, 90.00, 120.00 degrees
Space group P6_3/mmc (No. 194)
Symmetry-distinct sites (fractional):
1 Te 0.0000 0.0000 0.0000 (multiplicity 2)
2 Te 0.3333 0.6667 0.2500 (multiplicity 2)
3 Br 0.0000 0.5000 0.0000 (multiplicity 6)
4 Br 0.1346 0.2693 0.7500 (multiplicity 6)



No. 10
Compound: TeBr3
Source: Alexandria via LeMat-Bulk
Functional: GGA-PBE
Structure: relaxed

The value obtained for the uncorrected formation energy is -108 kJ/mol of formula units. As for the mass density: 3.1 g cm⁻³. For the electronic total energy, the calculation gives -18.6 eV per cell. The calculation puts the energy above the most stable polymorph in this dataset at 33.7 meV per atom.

Cell lengths 6.979, 7.726, 8.627 Å; angles 94.49, 106.67, 114.87 degrees
Space group P1 (No. 1)
Symmetry-distinct sites (fractional):
1 Te 0.000 0.000 0.000 (multiplicity 1)
2 Te 0.496 0.122 0.245 (multiplicity 1)
3 Br 0.024 0.157 0.750 (multiplicity 1)
4 Br 0.121 0.924 0.336 (multiplicity 1)
5 Br 0.175 0.778 0.927 (multiplicity 1)
6 Br 0.599 0.705 0.855 (multiplicity 1)
7 Br 0.676 0.432 0.468 (multiplicity 1)
8 Br 0.806 0.265 0.089 (multiplicity 1)



No. 11
Compound: TeBr2
Source: Alexandria via LeMat-Bulk
Functional: GGA-PBE
Structure: relaxed

The value obtained for the uncorrected formation energy is -45 kJ/mol of formula units. As for the mass density: 4.2 g cm⁻³. For the electronic total energy, the calculation gives -13.9 eV per cell. The calculation puts the energy above the most stable polymorph in this dataset at 112.2 meV per atom.

Cell lengths 5.573, 3.857, 10.604 Å; angles 90.00, 90.00, 90.00 degrees
Space group Amm2 (No. 38)
Symmetry-distinct sites (fractional):
1 Te 0.000 0.000 0.000 (multiplicity 2)
2 Br 0.000 0.000 0.245 (multiplicity 2)
3 Br 0.500 0.000 0.985 (multiplicity 2)



No. 12
Compound: TeBr2
Source: Alexandria via LeMat-Bulk
Functional: GGA-PBE
Structure: relaxed

The value obtained for the uncorrected formation energy is 77 kJ/mol of formula units. As for the mass density: 5.5 g cm⁻³. For the electronic total energy, the calculation gives -11.4 eV per cell. The calculation puts the energy above the most stable polymorph in this dataset at 534.1 meV per atom.

Cell lengths 5.0290, 5.0290, 7.9912 Å; angles 90.00, 90.00, 120.00 degrees
Space group P6_3/mmc (No. 194)
Symmetry-distinct sites (fractional):
1 Te 0.3333 0.6667 0.2500 (multiplicity 2)
2 Br 0.0000 0.0000 0.0000 (multiplicity 2)
3 Br 0.3333 0.6667 0.7500 (multiplicity 2)



No. 13
Compound: Te5Br
Source: Alexandria via LeMat-Bulk
Functional: GGA-PBE
Structure: relaxed

The value obtained for the uncorrected formation energy is 209 kJ/mol of formula units. As for the mass density: 6.7 g cm⁻³. For the electronic total energy, the calculation gives -60.9 eV per cell. The calculation puts the energy above the most stable polymorph in this dataset at 360.2 meV per atom.

Cell lengths 8.950, 8.950, 8.950 Å; angles 90.00, 90.00, 90.00 degrees
Space group F-43m (No. 216)
Symmetry-distinct sites (fractional):
1 Te 0.000 0.000 0.000 (multiplicity 4)
2 Te 0.129 0.129 0.629 (multiplicity 16)
3 Br 0.250 0.250 0.250 (multiplicity 4)